(1)
First-principles (PBE) data for crystalline SmHfCo10 at its relaxed geometry, as listed in Alexandria via LeMat-Bulk.

Computed properties:
SG ... Pmmm (47)
Magnetization ... 1.128 μB/atom
Energy ... -7.2382 eV/atom
Calculated formation energy ... -0.09 eV/atom

Unit cell a=3.965 b=4.839 c=8.429 alpha=90.00 beta=90.00 gamma=90.00
Atoms (fractional coordinates):
Sm (0.000, 0.000, 0.000)
Hf (0.000, 0.500, 0.500)
Co (0.000, 0.000, 0.345)
Co (0.000, 0.000, 0.655)
Co (0.000, 0.500, 0.184)
Co (0.000, 0.500, 0.816)
Co (0.500, 0.000, 0.500)
Co (0.500, 0.256, 0.259)
Co (0.500, 0.256, 0.741)
Co (0.500, 0.500, 0.000)
Co (0.500, 0.744, 0.259)
Co (0.500, 0.744, 0.741)

(2)
First-principles (PBE) data for crystalline SmHfCo at its relaxed geometry, as listed in Alexandria via LeMat-Bulk.

Computed properties:
SG ... P4/nmm (129)
Magnetization ... 0.000 μB/atom
Energy ... -7.4815 eV/atom
Calculated formation energy ... -0.22 eV/atom

Unit cell a=4.502 b=4.502 c=6.388 alpha=90.00 beta=90.00 gamma=90.00
Atoms (fractional coordinates):
Sm (0.250, 0.250, 0.120)
Sm (0.750, 0.750, 0.880)
Hf (0.250, 0.750, 0.500)
Hf (0.750, 0.250, 0.500)
Co (0.250, 0.250, 0.697)
Co (0.750, 0.750, 0.303)

(3)
First-principles (PBE) data for crystalline SmHfCo2 at its relaxed geometry, as listed in Alexandria via LeMat-Bulk.

Computed properties:
SG ... Fm-3m (225)
Magnetization ... 0.322 μB/atom
Energy ... -7.3206 eV/atom
Calculated formation energy ... -0.10 eV/atom
Energy relative to the lowest polymorph listed for this composition ... 0.1095 eV per atom

Unit cell a=6.575 b=6.575 c=6.575 alpha=90.00 beta=90.00 gamma=90.00
Atoms (fractional coordinates):
Sm (0.000, 0.000, 0.000)
Sm (0.000, 0.500, 0.500)
Sm (0.500, 0.000, 0.500)
Sm (0.500, 0.500, 0.000)
Hf (0.000, 0.000, 0.500)
Hf (0.000, 0.500, 0.000)
Hf (0.500, 0.000, 0.000)
Hf (0.500, 0.500, 0.500)
Co (0.250, 0.250, 0.250)
Co (0.250, 0.250, 0.750)
Co (0.250, 0.750, 0.250)
Co (0.250, 0.750, 0.750)
Co (0.750, 0.250, 0.250)
Co (0.750, 0.250, 0.750)
Co (0.750, 0.750, 0.250)
Co (0.750, 0.750, 0.750)